Record 1
# DyScAl2

Crystalline DyScAl2 at its relaxed geometry (GGA-PBE, Alexandria).

```
data_DyScAl2
_chemical_formula_sum 'Dy1 Sc1 Al2'
_space_group_name_H-M_alt 'P 4/m m m'
_space_group_IT_number 123
_space_group_name_Hall '-P 4 2'
_cell_length_a 4.5673
_cell_length_b 4.5673
_cell_length_c 4.1097
_cell_angle_alpha 90.00
_cell_angle_beta 90.00
_cell_angle_gamma 90.00
loop_
_atom_site_label
_atom_site_type_symbol
_atom_site_fract_x
_atom_site_fract_y
_atom_site_fract_z
_atom_site_occupancy
Dy1 Dy 0.0000 0.0000 0.0000 1
Sc1 Sc 0.5000 0.5000 0.0000 1
Al1 Al 0.0000 0.5000 0.5000 1
```

Summary:
Energy above the most stable polymorph in this dataset in meV/atom: 35

Record 2
# DySc3Al8

Crystalline DySc3Al8 at its relaxed geometry (GGA-PBE, Alexandria).

```
data_DySc3Al8
_chemical_formula_sum 'Dy3 Sc9 Al24'
_space_group_name_H-M_alt 'R 3 m'
_space_group_IT_number 160
_space_group_name_Hall 'R 3 -2"'
_cell_length_a 5.4047
_cell_length_b 5.4047
_cell_length_c 26.6123
_cell_angle_alpha 90.00
_cell_angle_beta 90.00
_cell_angle_gamma 120.00
loop_
_atom_site_label
_atom_site_type_symbol
_atom_site_fract_x
_atom_site_fract_y
_atom_site_fract_z
_atom_site_occupancy
Dy1 Dy 0.0000 0.0000 0.0000 1
Sc1 Sc 0.0000 0.0000 0.3767 1
Sc2 Sc 0.0000 0.0000 0.4995 1
Sc3 Sc 0.0000 0.0000 0.8743 1
Al1 Al 0.0000 0.0000 0.1872 1
Al2 Al 0.0000 0.0000 0.6878 1
Al3 Al 0.0010 0.5005 0.4386 1
Al4 Al 0.1670 0.3340 0.2695 1
```

Summary:
Energy above the most stable polymorph in this dataset in meV/atom: 0

Record 3
# Dy4ScAl2

Crystalline Dy4ScAl2 at its relaxed geometry (GGA-PBE, Alexandria).

```
data_Dy4ScAl2
_chemical_formula_sum 'Dy12 Sc3 Al6'
_space_group_name_H-M_alt 'R -3 m'
_space_group_IT_number 166
_space_group_name_Hall '-R 3 2"'
_cell_length_a 5.1440
_cell_length_b 5.1440
_cell_length_c 24.1690
_cell_angle_alpha 90.00
_cell_angle_beta 90.00
_cell_angle_gamma 120.00
loop_
_atom_site_label
_atom_site_type_symbol
_atom_site_fract_x
_atom_site_fract_y
_atom_site_fract_z
_atom_site_occupancy
Dy1 Dy 0.0000 0.0000 0.1035 1
Dy2 Dy 0.0000 0.0000 0.3647 1
Sc1 Sc 0.0000 0.0000 0.5000 1
Al1 Al 0.0000 0.0000 0.2341 1
```

Summary:
Energy above the most stable polymorph in this dataset in meV/atom: 0

Record 4
# Dy5ScAl3

Crystalline Dy5ScAl3 at its relaxed geometry (GGA-PBE, Alexandria).

```
data_Dy5ScAl3
_chemical_formula_sum 'Dy10 Sc2 Al6'
_space_group_name_H-M_alt 'P 63/m c m'
_space_group_IT_number 193
_space_group_name_Hall '-P 6c 2'
_cell_length_a 8.9982
_cell_length_b 8.9982
_cell_length_c 6.5300
_cell_angle_alpha 90.00
_cell_angle_beta 90.00
_cell_angle_gamma 120.00
loop_
_atom_site_label
_atom_site_type_symbol
_atom_site_fract_x
_atom_site_fract_y
_atom_site_fract_z
_atom_site_occupancy
Dy1 Dy 0.0000 0.3254 0.2500 1
Dy2 Dy 0.3333 0.6667 0.0000 1
Sc1 Sc 0.0000 0.0000 0.0000 1
Al1 Al 0.0000 0.3359 0.7500 1
```

Record 5
# DySc2Al

Crystalline DySc2Al at its relaxed geometry (GGA-PBE, Alexandria).

```
data_DySc2Al
_chemical_formula_sum 'Dy1 Sc2 Al1'
_space_group_name_H-M_alt 'P 4/m m m'
_space_group_IT_number 123
_space_group_name_Hall '-P 4 2'
_cell_length_a 4.5253
_cell_length_b 4.5253
_cell_length_c 4.5650
_cell_angle_alpha 90.00
_cell_angle_beta 90.00
_cell_angle_gamma 90.00
loop_
_atom_site_label
_atom_site_type_symbol
_atom_site_fract_x
_atom_site_fract_y
_atom_site_fract_z
_atom_site_occupancy
Dy1 Dy 0.0000 0.0000 0.0000 1
Sc1 Sc 0.0000 0.5000 0.5000 1
Al1 Al 0.5000 0.5000 0.0000 1
```

Summary:
Energy above the most stable polymorph in this dataset in meV/atom: 9

Record 6
# Dy2Sc8Al

Crystalline Dy2Sc8Al at its relaxed geometry (GGA-PBE, Alexandria).

```
data_Dy2Sc8Al
_chemical_formula_sum 'Dy4 Sc16 Al2'
_space_group_name_H-M_alt 'C 1 2/m 1'
_space_group_IT_number 12
_space_group_name_Hall '-C 2y'
_cell_length_a 16.5409
_cell_length_b 6.0218
_cell_length_c 5.6177
_cell_angle_alpha 90.00
_cell_angle_beta 97.82
_cell_angle_gamma 90.00
loop_
_atom_site_label
_atom_site_type_symbol
_atom_site_fract_x
_atom_site_fract_y
_atom_site_fract_z
_atom_site_occupancy
Dy1 Dy 0.2169 0.0000 0.0006 1
Sc1 Sc 0.0208 0.0000 0.7603 1
Sc2 Sc 0.0889 0.5000 0.9773 1
Sc3 Sc 0.1508 0.2562 0.4795 1
Al1 Al 0.0000 0.5000 0.5000 1
```

Record 7
# Dy4ScAl2

Crystalline Dy4ScAl2 at its relaxed geometry (GGA-PBE, Alexandria).

```
data_Dy4ScAl2
_chemical_formula_sum 'Dy12 Sc3 Al6'
_space_group_name_H-M_alt 'R -3 m'
_space_group_IT_number 166
_space_group_name_Hall '-R 3 2"'
_cell_length_a 5.0418
_cell_length_b 5.0418
_cell_length_c 28.5967
_cell_angle_alpha 90.00
_cell_angle_beta 90.00
_cell_angle_gamma 120.00
loop_
_atom_site_label
_atom_site_type_symbol
_atom_site_fract_x
_atom_site_fract_y
_atom_site_fract_z
_atom_site_occupancy
Dy1 Dy 0.0000 0.0000 0.1112 1
Dy2 Dy 0.0000 0.0000 0.2943 1
Sc1 Sc 0.0000 0.0000 0.5000 1
Al1 Al 0.0000 0.0000 0.4021 1
```

Summary:
Energy above the most stable polymorph in this dataset in meV/atom: 280

Record 8
# DySc2Al9

Crystalline DySc2Al9 at its relaxed geometry (GGA-PBE, Alexandria).

```
data_DySc2Al9
_chemical_formula_sum 'Dy3 Sc6 Al27'
_space_group_name_H-M_alt 'R -3 m'
_space_group_IT_number 166
_space_group_name_Hall '-R 3 2"'
_cell_length_a 5.4436
_cell_length_b 5.4436
_cell_length_c 25.9838
_cell_angle_alpha 90.00
_cell_angle_beta 90.00
_cell_angle_gamma 120.00
loop_
_atom_site_label
_atom_site_type_symbol
_atom_site_fract_x
_atom_site_fract_y
_atom_site_fract_z
_atom_site_occupancy
Dy1 Dy 0.0000 0.0000 0.0000 1
Sc1 Sc 0.0000 0.0000 0.1433 1
Al1 Al 0.0000 0.0000 0.3353 1
Al2 Al 0.0000 0.0000 0.5000 1
Al3 Al 0.0074 0.5037 0.9145 1
```

Summary:
Energy above the most stable polymorph in this dataset in meV/atom: 106

Record 9
# Dy2ScAl9

Crystalline Dy2ScAl9 at its relaxed geometry (GGA-PBE, Alexandria).

```
data_Dy2ScAl9
_chemical_formula_sum 'Dy2 Sc1 Al9'
_space_group_name_H-M_alt 'P 4/m m m'
_space_group_IT_number 123
_space_group_name_Hall '-P 4 2'
_cell_length_a 4.2081
_cell_length_b 4.2081
_cell_length_c 12.5981
_cell_angle_alpha 90.00
_cell_angle_beta 90.00
_cell_angle_gamma 90.00
loop_
_atom_site_label
_atom_site_type_symbol
_atom_site_fract_x
_atom_site_fract_y
_atom_site_fract_z
_atom_site_occupancy
Dy1 Dy 0.0000 0.0000 0.1703 1
Sc1 Sc 0.0000 0.0000 0.5000 1
Al1 Al 0.0000 0.5000 0.0000 1
Al2 Al 0.0000 0.5000 0.3408 1
Al3 Al 0.5000 0.5000 0.1688 1
Al4 Al 0.5000 0.5000 0.5000 1
```

Record 10
# DyScAl

Crystalline DyScAl at its relaxed geometry (GGA-PBE, Alexandria).

```
data_DyScAl
_chemical_formula_sum 'Dy1 Sc1 Al1'
_space_group_name_H-M_alt 'P -6 m 2'
_space_group_IT_number 187
_space_group_name_Hall 'P -6 2'
_cell_length_a 5.0345
_cell_length_b 5.0345
_cell_length_c 3.0640
_cell_angle_alpha 90.00
_cell_angle_beta 90.00
_cell_angle_gamma 120.00
loop_
_atom_site_label
_atom_site_type_symbol
_atom_site_fract_x
_atom_site_fract_y
_atom_site_fract_z
_atom_site_occupancy
Dy1 Dy 0.0000 0.0000 0.0000 1
Sc1 Sc 0.6667 0.3333 0.0000 1
Al1 Al 0.3333 0.6667 0.5000 1
```

Summary:
Energy above the most stable polymorph in this dataset in meV/atom: 251

Record 11
# DySc4Al

Crystalline DySc4Al at its relaxed geometry (GGA-PBE, Alexandria).

```
data_DySc4Al
_chemical_formula_sum 'Dy2 Sc8 Al2'
_space_group_name_H-M_alt 'C 1 2/m 1'
_space_group_IT_number 12
_space_group_name_Hall '-C 2y'
_cell_length_a 8.7344
_cell_length_b 5.0496
_cell_length_c 6.4727
_cell_angle_alpha 90.00
_cell_angle_beta 90.12
_cell_angle_gamma 90.00
loop_
_atom_site_label
_atom_site_type_symbol
_atom_site_fract_x
_atom_site_fract_y
_atom_site_fract_z
_atom_site_occupancy
Dy1 Dy 0.0000 0.0000 0.0000 1
Sc1 Sc 0.1664 0.5000 0.6454 1
Sc2 Sc 0.1672 0.5000 0.1505 1
Al1 Al 0.0000 0.0000 0.5000 1
```

Record 12
# DySc2Al2

Crystalline DySc2Al2 at its relaxed geometry (GGA-PBE, Alexandria).

```
data_DySc2Al2
_chemical_formula_sum 'Dy2 Sc4 Al4'
_space_group_name_H-M_alt 'P 1 21/m 1'
_space_group_IT_number 11
_space_group_name_Hall '-P 2yb'
_cell_length_a 3.4656
_cell_length_b 4.9773
_cell_length_c 12.8493
_cell_angle_alpha 90.00
_cell_angle_beta 97.75
_cell_angle_gamma 90.00
loop_
_atom_site_label
_atom_site_type_symbol
_atom_site_fract_x
_atom_site_fract_y
_atom_site_fract_z
_atom_site_occupancy
Dy1 Dy 0.1464 0.2500 0.2936 1
Sc1 Sc 0.0486 0.7500 0.0971 1
Sc2 Sc 0.2359 0.7500 0.4719 1
Al1 Al 0.3574 0.2500 0.7144 1
Al2 Al 0.4548 0.7500 0.9095 1
```

Summary:
Energy above the most stable polymorph in this dataset in meV/atom: 0

Record 13
# DyScAl

Crystalline DyScAl at its relaxed geometry (GGA-PBE, Alexandria).

```
data_DyScAl
_chemical_formula_sum 'Dy4 Sc4 Al4'
_space_group_name_H-M_alt 'I 4/m m m'
_space_group_IT_number 139
_space_group_name_Hall '-I 4 2'
_cell_length_a 3.2519
_cell_length_b 3.2519
_cell_length_c 27.5802
_cell_angle_alpha 90.00
_cell_angle_beta 90.00
_cell_angle_gamma 90.00
loop_
_atom_site_label
_atom_site_type_symbol
_atom_site_fract_x
_atom_site_fract_y
_atom_site_fract_z
_atom_site_occupancy
Dy1 Dy 0.0000 0.0000 0.0639 1
Sc1 Sc 0.0000 0.0000 0.2064 1
Al1 Al 0.0000 0.0000 0.3625 1
```

Summary:
Energy above the most stable polymorph in this dataset in meV/atom: 101

Record 14
# DyScAl2

Crystalline DyScAl2 at its relaxed geometry (GGA-PBE, Alexandria).

```
data_DyScAl2
_chemical_formula_sum 'Dy4 Sc4 Al8'
_space_group_name_H-M_alt 'F m -3 m'
_space_group_IT_number 225
_space_group_name_Hall '-F 4 2 3'
_cell_length_a 6.9837
_cell_length_b 6.9837
_cell_length_c 6.9837
_cell_angle_alpha 90.00
_cell_angle_beta 90.00
_cell_angle_gamma 90.00
loop_
_atom_site_label
_atom_site_type_symbol
_atom_site_fract_x
_atom_site_fract_y
_atom_site_fract_z
_atom_site_occupancy
Dy1 Dy 0.0000 0.0000 0.0000 1
Sc1 Sc 0.0000 0.0000 0.5000 1
Al1 Al 0.2500 0.2500 0.2500 1
```

Summary:
Energy above the most stable polymorph in this dataset in meV/atom: 17

Record 15
# Dy3ScAl8

Crystalline Dy3ScAl8 at its relaxed geometry (GGA-PBE, Alexandria).

```
data_Dy3ScAl8
_chemical_formula_sum 'Dy9 Sc3 Al24'
_space_group_name_H-M_alt 'R 3 m'
_space_group_IT_number 160
_space_group_name_Hall 'R 3 -2"'
_cell_length_a 5.5034
_cell_length_b 5.5034
_cell_length_c 27.1149
_cell_angle_alpha 90.00
_cell_angle_beta 90.00
_cell_angle_gamma 120.00
loop_
_atom_site_label
_atom_site_type_symbol
_atom_site_fract_x
_atom_site_fract_y
_atom_site_fract_z
_atom_site_occupancy
Dy1 Dy 0.0000 0.0000 0.0000 1
Dy2 Dy 0.0000 0.0000 0.1255 1
Dy3 Dy 0.0000 0.0000 0.5018 1
Sc1 Sc 0.0000 0.0000 0.6250 1
Al1 Al 0.0000 0.0000 0.3129 1
Al2 Al 0.0000 0.0000 0.8134 1
Al3 Al 0.0004 0.5002 0.5641 1
Al4 Al 0.1670 0.3340 0.3955 1
```

Summary:
Energy above the most stable polymorph in this dataset in meV/atom: 0

Record 16
# DySc12Al3

Crystalline DySc12Al3 at its relaxed geometry (GGA-PBE, Alexandria).

```
data_DySc12Al3
_chemical_formula_sum 'Dy1 Sc12 Al3'
_space_group_name_H-M_alt 'P 4/m m m'
_space_group_IT_number 123
_space_group_name_Hall '-P 4 2'
_cell_length_a 4.4602
_cell_length_b 4.4602
_cell_length_c 18.2411
_cell_angle_alpha 90.00
_cell_angle_beta 90.00
_cell_angle_gamma 90.00
loop_
_atom_site_label
_atom_site_type_symbol
_atom_site_fract_x
_atom_site_fract_y
_atom_site_fract_z
_atom_site_occupancy
Dy1 Dy 0.0000 0.0000 0.0000 1
Sc1 Sc 0.0000 0.5000 0.1378 1
Sc2 Sc 0.0000 0.5000 0.3796 1
Sc3 Sc 0.5000 0.5000 0.0000 1
Sc4 Sc 0.5000 0.5000 0.2604 1
Sc5 Sc 0.5000 0.5000 0.5000 1
Al1 Al 0.0000 0.0000 0.2588 1
Al2 Al 0.0000 0.0000 0.5000 1
```

Record 17
# Dy4ScAl5

Crystalline Dy4ScAl5 at its relaxed geometry (GGA-PBE, Alexandria).

```
data_Dy4ScAl5
_chemical_formula_sum 'Dy4 Sc1 Al5'
_space_group_name_H-M_alt 'P 4/m m m'
_space_group_IT_number 123
_space_group_name_Hall '-P 4 2'
_cell_length_a 3.5332
_cell_length_b 3.5332
_cell_length_c 17.9942
_cell_angle_alpha 90.00
_cell_angle_beta 90.00
_cell_angle_gamma 90.00
loop_
_atom_site_label
_atom_site_type_symbol
_atom_site_fract_x
_atom_site_fract_y
_atom_site_fract_z
_atom_site_occupancy
Dy1 Dy 0.0000 0.0000 0.1034 1
Dy2 Dy 0.0000 0.0000 0.3091 1
Sc1 Sc 0.0000 0.0000 0.5000 1
Al1 Al 0.5000 0.5000 0.0000 1
Al2 Al 0.5000 0.5000 0.2064 1
Al3 Al 0.5000 0.5000 0.4140 1
```

Record 18
# DySc2Al

Crystalline DySc2Al at its relaxed geometry (GGA-PBE, Alexandria).

```
data_DySc2Al
_chemical_formula_sum 'Dy2 Sc4 Al2'
_space_group_name_H-M_alt 'I m m m'
_space_group_IT_number 71
_space_group_name_Hall '-I 2 2'
_cell_length_a 3.5156
_cell_length_b 5.1333
_cell_length_c 10.6614
_cell_angle_alpha 90.00
_cell_angle_beta 90.00
_cell_angle_gamma 90.00
loop_
_atom_site_label
_atom_site_type_symbol
_atom_site_fract_x
_atom_site_fract_y
_atom_site_fract_z
_atom_site_occupancy
Dy1 Dy 0.0000 0.0000 0.0000 1
Sc1 Sc 0.0000 0.5000 0.2194 1
Al1 Al 0.0000 0.0000 0.5000 1
```

Summary:
Energy above the most stable polymorph in this dataset in meV/atom: 0

Record 19
# Dy7ScAl4

Crystalline Dy7ScAl4 at its relaxed geometry (GGA-PBE, Alexandria).

```
data_Dy7ScAl4
_chemical_formula_sum 'Dy14 Sc2 Al8'
_space_group_name_H-M_alt 'C 1 2/m 1'
_space_group_IT_number 12
_space_group_name_Hall '-C 2y'
_cell_length_a 13.9176
_cell_length_b 5.3939
_cell_length_c 10.2630
_cell_angle_alpha 90.00
_cell_angle_beta 124.35
_cell_angle_gamma 90.00
loop_
_atom_site_label
_atom_site_type_symbol
_atom_site_fract_x
_atom_site_fract_y
_atom_site_fract_z
_atom_site_occupancy
Dy1 Dy 0.0000 0.0000 0.0000 1
Dy2 Dy 0.0664 0.5000 0.3919 1
Dy3 Dy 0.2087 0.5000 0.8797 1
Dy4 Dy 0.2126 0.0000 0.6596 1
Sc1 Sc 0.0000 0.5000 0.0000 1
Al1 Al 0.0535 0.0000 0.7579 1
Al2 Al 0.1748 0.0000 0.3349 1
```

Record 20
# DySc7Al4

Crystalline DySc7Al4 at its relaxed geometry (GGA-PBE, Alexandria).

```
data_DySc7Al4
_chemical_formula_sum 'Dy2 Sc14 Al8'
_space_group_name_H-M_alt 'C 1 2/m 1'
_space_group_IT_number 12
_space_group_name_Hall '-C 2y'
_cell_length_a 13.0765
_cell_length_b 5.1250
_cell_length_c 9.8643
_cell_angle_alpha 90.00
_cell_angle_beta 124.72
_cell_angle_gamma 90.00
loop_
_atom_site_label
_atom_site_type_symbol
_atom_site_fract_x
_atom_site_fract_y
_atom_site_fract_z
_atom_site_occupancy
Dy1 Dy 0.0000 0.0000 0.0000 1
Sc1 Sc 0.0000 0.5000 0.0000 1
Sc2 Sc 0.0626 0.0000 0.3894 1
Sc3 Sc 0.1971 0.5000 0.6379 1
Sc4 Sc 0.2164 0.0000 0.8750 1
Al1 Al 0.0600 0.5000 0.7686 1
Al2 Al 0.1802 0.5000 0.3329 1
```

| no. | final energy (eV per formula unit) | ΔE_f (eV/atom) |
| --- | --- | --- |
| 1 | -20.0 | -0.385 |
| 2 | -59.4 | -0.488 |
| 3 | -33.4 | -0.173 |
| 4 | -43.0 | -0.271 |
| 5 | -21.9 | -0.212 |
| 6 | -63.0 | 0.052 |
| 7 | -31.5 | 0.107 |
| 8 | -54.9 | -0.332 |
| 9 | -54.4 | -0.428 |
| 10 | -14.8 | -0.039 |
| 11 | -34.0 | -0.055 |
| 12 | -26.4 | -0.338 |
| 13 | -15.2 | -0.189 |
| 14 | -20.0 | -0.403 |
| 15 | -56.1 | -0.505 |
| 16 | -94.3 | -0.157 |
| 17 | -47.5 | -0.404 |
| 18 | -21.9 | -0.221 |
| 19 | -54.3 | -0.062 |
| 20 | -64.9 | -0.083 |